Ta3B4S: relaxed, PBE.

Unit cell a=3.048 b=3.171 c=8.999 alpha=90.00 beta=90.00 gamma=90.00
Fractional positions:
Ta (0.500, 0.500, 0.189)
Ta (0.000, 0.500, 0.500)
B (0.500, 0.000, 0.393)
B (0.500, 0.000, 0.607)
Ta (0.500, 0.500, 0.811)
B (0.000, 0.000, 0.700)
B (0.000, 0.000, 0.300)
S (0.000, 0.000, 0.000)

E = -8.869 eV per atom
Volume = 87 Å³ per cell